P) Entry from Alexandria: CrReW at its PBEsol-relaxed geometry (SCAN).

## Properties
- V (Å³ per cell) = 42.0

a b c (Å): 2.6601 4.2689 4.2689
angles (deg): 120.00 90.00 90.00
Element x y z (fractional)
Re 0.6697 0.3333 0.6667
W 0.3242 0.6667 0.3333
Cr 0.0060 0.0000 0.0000

Q) Entry from Alexandria: CrReW at its PBEsol-relaxed geometry (SCAN).

## Properties
- V (Å³ per cell) = 41.7

a b c (Å): 3.0314 3.0314 5.0196
angles (deg): 107.58 107.58 90.00
Element x y z (fractional)
Re 0.6635 0.6635 0.3269
W 0.3389 0.3389 0.6777
Cr 0.9977 0.9977 0.9954

Most stable: Q)

P) Entry from Alexandria: Zr2CrRe at its PBEsol-relaxed geometry (SCAN).

## Properties
- V (Å³ per cell) = 66.3

a b c (Å): 2.8685 4.3645 5.3517
angles (deg): 90.00 98.15 90.00
Element x y z (fractional)
Cr 0.5000 0.5000 0.0000
Re 0.0000 0.5000 0.5000
Zr 0.7453 0.0000 0.7529
Zr 0.2547 0.0000 0.2471

Q) Entry from Alexandria: Zr2CrRe at its PBEsol-relaxed geometry (SCAN).

## Properties
- V (Å³ per cell) = 65.3

a b c (Å): 4.5209 4.5209 4.5209
angles (deg): 60.00 60.00 60.00
Element x y z (fractional)
Cr 0.5000 0.5000 0.5000
Re 0.7500 0.7500 0.7500
Zr 0.0000 0.0000 0.0000
Zr 0.2500 0.2500 0.2500

Most stable: Q)

P) Entry from Alexandria: SrCrRh2 at its PBEsol-relaxed geometry (SCAN).

## Properties
- V (Å³ per cell) = 69.9

a b c (Å): 2.9477 4.7414 5.7261
angles (deg): 114.46 104.92 90.00
Element x y z (fractional)
Cr 0.2825 0.7825 0.5649
Rh 0.9948 0.9948 0.9896
Rh 0.7248 0.2248 0.4495
Sr 0.4980 0.4980 0.9960

Q) Entry from Alexandria: SrCrRh2 at its PBEsol-relaxed geometry (SCAN).

## Properties
- V (Å³ per cell) = 72.7

a b c (Å): 2.9295 4.3367 5.7583
angles (deg): 90.00 96.49 90.00
Element x y z (fractional)
Cr 0.3078 0.5000 0.8724
Rh 0.8654 0.0000 0.9502
Rh 0.8859 0.5000 0.2159
Sr 0.4409 0.0000 0.4614

R) Entry from Alexandria: SrCrRh2 at its PBEsol-relaxed geometry (SCAN).

## Properties
- V (Å³ per cell) = 71.9

a b c (Å): 2.8437 3.8244 6.6148
angles (deg): 90.00 90.00 90.00
Element x y z (fractional)
Cr 0.5000 0.5000 0.8478
Rh 0.0000 0.0000 0.9706
Rh 0.5000 0.5000 0.1985
Sr 0.0000 0.0000 0.4831

S) Entry from Alexandria: SrCrRh2 at its PBEsol-relaxed geometry (SCAN).

## Properties
- V (Å³ per cell) = 81.6

a b c (Å): 4.0736 4.0734 6.1414
angles (deg): 109.37 90.02 119.95
Element x y z (fractional)
Cr 0.6836 0.3672 0.0504
Rh 0.0288 0.0576 0.0864
Rh 0.2913 0.5827 0.8740
Sr 0.4962 0.9925 0.4892

Most stable: S)

P) Entry from Alexandria: TaCr2Rh at its PBEsol-relaxed geometry (SCAN).

## Properties
- V (Å³ per cell) = 54.3

a b c (Å): 3.0229 3.0199 5.9532
angles (deg): 90.00 90.00 90.00
Element x y z (fractional)
Cr 0.0000 0.0000 0.7486
Cr 0.0000 0.0000 0.2514
Rh 0.5000 0.5000 0.0000
Ta 0.5000 0.5000 0.5000

Q) Entry from Alexandria: TaCr2Rh at its PBEsol-relaxed geometry (SCAN).

## Properties
- V (Å³ per cell) = 55.0

a b c (Å): 2.7872 2.7872 8.3317
angles (deg): 80.37 80.37 60.00
Element x y z (fractional)
Cr 0.0114 0.0114 0.9659
Cr 0.7431 0.7431 0.7708
Rh 0.4939 0.4939 0.5182
Ta 0.2516 0.2516 0.2451

R) Entry from Alexandria: TaCr2Rh at its PBEsol-relaxed geometry (SCAN).

## Properties
- V (Å³ per cell) = 54.1

a b c (Å): 2.6886 3.9382 5.2802
angles (deg): 90.00 104.66 90.00
Element x y z (fractional)
Cr 0.1021 0.0000 0.0377
Cr 0.4331 0.5000 0.2224
Rh 0.9338 0.0000 0.4864
Ta 0.5310 0.5000 0.7534

S) Entry from Alexandria: TaCr2Rh at its PBEsol-relaxed geometry (SCAN).

## Properties
- V (Å³ per cell) = 54.9

a b c (Å): 2.6690 2.6690 9.0335
angles (deg): 81.50 81.50 60.00
Element x y z (fractional)
Cr 0.2442 0.2442 0.2674
Cr 0.7558 0.7558 0.7326
Rh 0.5000 0.5000 0.5000
Ta 0.0000 0.0000 0.0000

Most stable: R)

P) Entry from Alexandria: CrTcRh2 at its PBEsol-relaxed geometry (SCAN).

## Properties
- V (Å³ per cell) = 52.0

a b c (Å): 2.6496 4.2218 4.6448
angles (deg): 90.00 90.00 90.00
Element x y z (fractional)
Cr 0.5000 0.5000 0.2127
Rh 0.0000 0.0000 0.0486
Rh 0.0000 0.5000 0.7034
Tc 0.5000 0.0000 0.5353

Q) Entry from Alexandria: CrTcRh2 at its PBEsol-relaxed geometry (SCAN).

## Properties
- V (Å³ per cell) = 52.2

a b c (Å): 3.7157 3.7157 4.6023
angles (deg): 113.81 113.81 90.00
Element x y z (fractional)
Cr 0.5000 0.5000 0.0000
Rh 0.7500 0.2500 0.5000
Rh 0.2500 0.7500 0.5000
Tc 0.0000 0.0000 0.0000

R) Entry from Alexandria: CrTcRh2 at its PBEsol-relaxed geometry (SCAN).

## Properties
- V (Å³ per cell) = 52.3

a b c (Å): 2.6402 4.5940 4.5940
angles (deg): 110.05 90.00 90.00
Element x y z (fractional)
Cr 0.5000 0.5000 0.5000
Rh 0.0000 0.5000 0.0000
Rh 0.0000 0.0000 0.5000
Tc 0.5000 0.0000 0.0000

S) Entry from Alexandria: CrTcRh2 at its PBEsol-relaxed geometry (SCAN).

## Properties
- V (Å³ per cell) = 52.4

a b c (Å): 2.6434 2.6434 8.7985
angles (deg): 81.36 81.36 60.00
Element x y z (fractional)
Cr 0.2519 0.2519 0.2444
Rh 0.9957 0.9957 0.0128
Rh 0.7512 0.7512 0.7464
Tc 0.5012 0.5012 0.4963

Most stable: P)

P) Entry from Alexandria: TlCr2Rh at its PBEsol-relaxed geometry (SCAN).

## Properties
- V (Å³ per cell) = 62.6

a b c (Å): 4.4564 4.4564 4.4564
angles (deg): 60.00 60.00 60.00
Element x y z (fractional)
Cr 0.2500 0.2500 0.2500
Cr 0.7500 0.7500 0.7500
Rh 0.0000 0.0000 0.0000
Tl 0.5000 0.5000 0.5000

Q) Entry from Alexandria: TlCr2Rh at its PBEsol-relaxed geometry (SCAN).

## Properties
- V (Å³ per cell) = 60.3

a b c (Å): 2.8775 4.7064 4.7731
angles (deg): 101.32 107.54 90.00
Element x y z (fractional)
Cr 0.2402 0.1674 0.4803
Cr 0.7598 0.8326 0.5197
Rh 0.5000 0.0000 0.0000
Tl 0.0000 0.5000 0.0000

Most stable: P)